(1)
Here is crystalline Cd2PBr2 at its relaxed geometry from Alexandria. Energies are from PBE.

a = 8.2635 Å, b = 8.2635 Å, c = 3.7169 Å
α = 90.00°, β = 90.00°, γ = 90.00°
Sites, in units of the cell vectors:
Cd: 0.1663 0.3337 0.0000
Cd: 0.3337 0.8337 0.0000
Cd: 0.6663 0.1663 0.0000
Cd: 0.8337 0.6663 0.0000
P: 0.0000 0.0000 0.5000
P: 0.5000 0.5000 0.5000
Br: 0.1440 0.6440 0.5000
Br: 0.3560 0.1440 0.5000
Br: 0.6440 0.8560 0.5000
Br: 0.8560 0.3560 0.5000

Output
Formation energy without anion corrections ... 0.403 eV/atom

(2)
Here is crystalline Al2Tc2Pb at its relaxed geometry from Alexandria. Energies are from PBE.

a = 7.1788 Å, b = 7.1788 Å, c = 3.2279 Å
α = 90.00°, β = 90.00°, γ = 90.00°
Sites, in units of the cell vectors:
Al: 0.1267 0.3733 0.0000
Al: 0.3733 0.8733 0.0000
Al: 0.6267 0.1267 0.0000
Al: 0.8733 0.6267 0.0000
Tc: 0.1633 0.6633 0.5000
Tc: 0.3367 0.1633 0.5000
Tc: 0.6633 0.8367 0.5000
Tc: 0.8367 0.3367 0.5000
Pb: 0.0000 0.0000 0.0000
Pb: 0.5000 0.5000 0.0000

Output
Relative energy among the computed polymorphs ... 174 meV per atom
ΔE_f ... 0.2061 eV per atom

(3)
Here is crystalline Cu2SbF at its relaxed geometry from Alexandria. Energies are from PBE.

a = 4.4100 Å, b = 4.4100 Å, c = 4.4100 Å
α = 60.00°, β = 60.00°, γ = 60.00°
Sites, in units of the cell vectors:
Cu: 0.2500 0.2500 0.2500
Cu: 0.7500 0.7500 0.7500
Sb: 0.0000 0.0000 0.0000
F: 0.5000 0.5000 0.5000

Output
Formation energy without anion corrections ... -0.188 eV/atom
Relative energy among the computed polymorphs ... 147 meV per atom

(4)
Here is crystalline Fe2Pd5Pt2 at its relaxed geometry from Alexandria. Energies are from PBE.

a = 3.8455 Å, b = 4.7910 Å, c = 8.3311 Å
α = 106.33°, β = 90.07°, γ = 113.65°
Sites, in units of the cell vectors:
Fe: 0.0011 0.0020 0.1704
Fe: 0.9989 0.9980 0.8296
Pd: 0.0000 0.0000 0.5000
Pd: 0.3365 0.6722 0.6168
Pd: 0.3385 0.6773 0.9456
Pd: 0.6615 0.3227 0.0544
Pd: 0.6635 0.3278 0.3832
Pt: 0.3361 0.6717 0.2730
Pt: 0.6639 0.3283 0.7270

Output
Relative energy among the computed polymorphs ... 0 meV per atom
ΔE_f ... -0.1217 eV per atom

(5)
Here is crystalline Li2SiAg at its relaxed geometry from Alexandria. Energies are from PBE.

a = 2.7536 Å, b = 2.7536 Å, c = 8.6594 Å
α = 90.00°, β = 90.00°, γ = 90.00°
Sites, in units of the cell vectors:
Li: 0.0000 0.0000 0.0000
Li: 0.5000 0.5000 0.2889
Si: 0.0000 0.0000 0.5100
Ag: 0.5000 0.5000 0.7597

Output
Formation energy without anion corrections ... 0.001 eV/atom

(6)
Here is crystalline PrNdMoN4 at its relaxed geometry from Alexandria. Energies are from PBE.

a = 6.9713 Å, b = 6.9713 Å, c = 6.9713 Å
α = 147.14°, β = 147.14°, γ = 47.16°
Sites, in units of the cell vectors:
Pr: 0.0000 0.0000 0.0000
Nd: 0.7088 0.7088 0.0000
Mo: 0.3475 0.3475 0.0000
N: 0.1933 0.1933 0.0000
N: 0.3583 0.8583 0.5000
N: 0.5282 0.5282 0.0000
N: 0.8583 0.3583 0.5000

Output
Formation energy without anion corrections ... -0.922 eV/atom

(7)
Here is crystalline KTlS2 at its relaxed geometry from Alexandria. Energies are from PBE.

a = 6.1353 Å, b = 6.5305 Å, c = 6.5589 Å
α = 96.73°, β = 107.44°, γ = 96.05°
Sites, in units of the cell vectors:
K: 0.2210 0.2020 0.4099
K: 0.7790 0.7980 0.5901
Tl: 0.3074 0.7007 0.9817
Tl: 0.6926 0.2993 0.0183
S: 0.0860 0.2547 0.8485
S: 0.2138 0.7051 0.3979
S: 0.7862 0.2949 0.6021
S: 0.9140 0.7452 0.1515

Output
Formation energy without anion corrections ... -0.578 eV/atom
Relative energy among the computed polymorphs ... 52 meV per atom

(8)
Here is crystalline SrAgOsRh2 at its relaxed geometry from Alexandria. Energies are from PBE.

a = 4.9511 Å, b = 4.9511 Å, c = 4.8917 Å
α = 90.00°, β = 90.00°, γ = 90.00°
Sites, in units of the cell vectors:
Sr: 0.0000 0.0000 0.0000
Ag: 0.5000 0.5000 0.5000
Os: 0.5000 0.5000 0.0000
Rh: 0.0000 0.5000 0.5000
Rh: 0.5000 0.0000 0.5000

Output
ΔE_f ... 1.4269 eV per atom

(9)
Here is crystalline U2ReSi4Ir3 at its relaxed geometry from Alexandria. Energies are from PBE.

a = 4.1846 Å, b = 4.1846 Å, c = 9.6343 Å
α = 90.00°, β = 90.00°, γ = 90.00°
Sites, in units of the cell vectors:
U: 0.0000 0.5000 0.2482
U: 0.5000 0.0000 0.7518
Re: 0.5000 0.5000 0.0000
Si: 0.0000 0.0000 0.5000
Si: 0.0000 0.5000 0.8702
Si: 0.5000 0.0000 0.1298
Si: 0.5000 0.5000 0.5000
Ir: 0.0000 0.0000 0.0000
Ir: 0.0000 0.5000 0.6257
Ir: 0.5000 0.0000 0.3743

Output
Formation energy without anion corrections ... -0.670 eV/atom

(10)
Here is crystalline TaV12Cr6 at its relaxed geometry from Alexandria. Energies are from PBE.

a = 7.1924 Å, b = 7.1924 Å, c = 5.5016 Å
α = 98.21°, β = 98.21°, γ = 109.00°
Sites, in units of the cell vectors:
Ta: 0.0000 0.0000 0.0000
V: 0.1080 0.3840 0.9265
V: 0.1187 0.8813 0.5000
V: 0.1610 0.4874 0.4102
V: 0.3840 0.1080 0.9265
V: 0.4634 0.4634 0.2246
V: 0.4874 0.1610 0.4102
V: 0.5126 0.8390 0.5898
V: 0.5366 0.5366 0.7754
V: 0.6160 0.8920 0.0735
V: 0.8390 0.5126 0.5898
V: 0.8813 0.1187 0.5000
V: 0.8920 0.6160 0.0735
Cr: 0.2165 0.7118 0.8082
Cr: 0.2429 0.2429 0.6146
Cr: 0.2882 0.7835 0.1918
Cr: 0.7118 0.2165 0.8082
Cr: 0.7571 0.7571 0.3854
Cr: 0.7835 0.2882 0.1918

Output
ΔE_f ... 0.2615 eV per atom

(11)
Here is crystalline YCd11Cu at its relaxed geometry from Alexandria. Energies are from PBE.

a = 7.5976 Å, b = 7.5976 Å, c = 7.5401 Å
α = 98.33°, β = 98.33°, γ = 134.95°
Sites, in units of the cell vectors:
Y: 0.0000 0.0000 0.0000
Cd: 0.0000 0.0000 0.5000
Cd: 0.0000 0.5000 0.0000
Cd: 0.0174 0.3581 0.3561
Cd: 0.3029 0.5103 0.7826
Cd: 0.3581 0.0174 0.3561
Cd: 0.4897 0.6971 0.2174
Cd: 0.5000 0.0000 0.0000
Cd: 0.5103 0.3029 0.7826
Cd: 0.6419 0.9826 0.6439
Cd: 0.6971 0.4897 0.2174
Cd: 0.9826 0.6419 0.6439
Cu: 0.5000 0.5000 0.5000

Output
ΔE_f ... -0.0760 eV per atom

(12)
Here is crystalline Tb3Dy2YAs6 at its relaxed geometry from Alexandria. Energies are from PBE.

a = 9.2318 Å, b = 9.2318 Å, c = 8.2569 Å
α = 102.90°, β = 102.90°, γ = 25.85°
Sites, in units of the cell vectors:
Tb: 0.0000 0.0000 0.0000
Tb: 0.3333 0.3333 0.6668
Tb: 0.6667 0.6667 0.3332
Dy: 0.3334 0.3334 0.1668
Dy: 0.6666 0.6666 0.8332
Y: 0.0000 0.0000 0.5000
As: 0.1670 0.1670 0.0825
As: 0.1666 0.1666 0.5840
As: 0.4998 0.4998 0.2502
As: 0.5002 0.5002 0.7498
As: 0.8334 0.8334 0.4160
As: 0.8330 0.8330 0.9175

Output
ΔE_f ... -1.5425 eV per atom

Calculated calculated density in order - 5.44 9.13 7.33 12.83 3.79 7.30 4.15 8.19 13.30 7.03 8.09 7.45 Mg/m³
Calculated calculated total energy in order - -0.12597 -0.45415 -0.27451 -0.45787 -0.22231 -0.63142 -0.25778 -0.34296 -0.66150 -0.67328 -0.12220 -0.46529 Ry/atom